1.
Below is crystalline AlCd2Co at its relaxed geometry, with properties calculated at the GGA-PBEsol level.

Computed properties:
formation energy = 0.235 eV per atom
M_tot = 0.8 μB per formula unit

CIF file:
```
data_AlCd2Co
_chemical_formula_sum 'Al1 Cd2 Co1'
_cell_length_a 3.296
_cell_length_b 3.574
_cell_length_c 5.549
_cell_angle_alpha 90.00
_cell_angle_beta 90.00
_cell_angle_gamma 90.00
_symmetry_space_group_name_H-M 'P m m m'
_symmetry_Int_Tables_number 47
_symmetry_space_group_name_Hall '-P 2 2'
loop_
_atom_site_label
_atom_site_type_symbol
_atom_site_fract_x
_atom_site_fract_y
_atom_site_fract_z
Al1 Al 0.000 0.000 0.000
Cd1 Cd 0.500 0.500 0.261
Co1 Co 0.000 0.000 0.500
```



2.
Below is crystalline BaBrCl2 at its relaxed geometry, with properties calculated at the GGA-PBEsol level.

Computed properties:
formation energy (no corrections) = -1.71 eV per atom
E above lowest polymorph = 0.000 eV per atom
M_tot = 0.0 μB per formula unit

CIF file:
```
data_BaBrCl2
_chemical_formula_sum 'Ba1 Br1 Cl2'
_cell_length_a 5.067
_cell_length_b 5.490
_cell_length_c 5.307
_cell_angle_alpha 90.00
_cell_angle_beta 116.97
_cell_angle_gamma 90.00
_symmetry_space_group_name_H-M 'P 1 m 1'
_symmetry_Int_Tables_number 6
_symmetry_space_group_name_Hall 'P -2y'
loop_
_atom_site_label
_atom_site_type_symbol
_atom_site_fract_x
_atom_site_fract_y
_atom_site_fract_z
Ba1 Ba 0.000 0.000 0.000
Br1 Br 0.423 0.500 0.183
Cl1 Cl 0.335 0.000 0.644
Cl2 Cl 0.902 0.500 0.690
```



3.
Below is crystalline InRhSCl2 at its relaxed geometry, with properties calculated at the GGA-PBEsol level.

Computed properties:
formation energy (no corrections) = 0.47 eV per atom
M_tot = 2.1 μB per formula unit

CIF file:
```
data_InRhSCl2
_chemical_formula_sum 'In1 Rh1 S1 Cl2'
_cell_length_a 4.936
_cell_length_b 4.936
_cell_length_c 5.014
_cell_angle_alpha 90.00
_cell_angle_beta 90.00
_cell_angle_gamma 90.00
_symmetry_space_group_name_H-M 'P 4/m m m'
_symmetry_Int_Tables_number 123
_symmetry_space_group_name_Hall '-P 4 2'
loop_
_atom_site_label
_atom_site_type_symbol
_atom_site_fract_x
_atom_site_fract_y
_atom_site_fract_z
In1 In 0.000 0.000 0.000
Rh1 Rh 0.500 0.500 0.500
S1 S 0.000 0.000 0.500
Cl1 Cl 0.000 0.500 0.000
```



4.
Below is crystalline ReSb2N at its relaxed geometry, with properties calculated at the GGA-PBEsol level.

Computed properties:
formation energy (no corrections) = 0.89 eV per atom
M_tot = 0.0 μB per formula unit

CIF file:
```
data_ReSb2N
_chemical_formula_sum 'Re4 Sb8 N4'
_cell_length_a 5.753
_cell_length_b 5.753
_cell_length_c 9.549
_cell_angle_alpha 90.00
_cell_angle_beta 90.00
_cell_angle_gamma 90.00
_symmetry_space_group_name_H-M 'I -4 2 d'
_symmetry_Int_Tables_number 122
_symmetry_space_group_name_Hall 'I -4 2bw'
loop_
_atom_site_label
_atom_site_type_symbol
_atom_site_fract_x
_atom_site_fract_y
_atom_site_fract_z
Re1 Re 0.000 0.000 0.000
Sb1 Sb 0.200 0.250 0.625
N1 N 0.000 0.000 0.500
```



5.
Below is crystalline OsIN2 at its relaxed geometry, with properties calculated at the GGA-PBEsol level.

Computed properties:
formation energy (no corrections) = 0.87 eV per atom
M_tot = 0.0 μB per formula unit

CIF file:
```
data_OsIN2
_chemical_formula_sum 'Os3 I3 N6'
_cell_length_a 3.1998
_cell_length_b 3.1998
_cell_length_c 19.4252
_cell_angle_alpha 90.00
_cell_angle_beta 90.00
_cell_angle_gamma 120.00
_symmetry_space_group_name_H-M 'R -3 m'
_symmetry_Int_Tables_number 166
_symmetry_space_group_name_Hall '-R 3 2"'
loop_
_atom_site_label
_atom_site_type_symbol
_atom_site_fract_x
_atom_site_fract_y
_atom_site_fract_z
Os1 Os 0.0000 0.0000 0.0000
I1 I 0.0000 0.0000 0.5000
N1 N 0.0000 0.0000 0.3813
```



6.
Below is crystalline TlV3O8 at its relaxed geometry, with properties calculated at the GGA-PBEsol level.

Computed properties:
formation energy (no corrections) = -2.14 eV per atom
M_tot = 0.0 μB per formula unit

CIF file:
```
data_TlV3O8
_chemical_formula_sum 'Tl2 V6 O16'
_cell_length_a 4.998
_cell_length_b 8.422
_cell_length_c 7.788
_cell_angle_alpha 90.00
_cell_angle_beta 98.66
_cell_angle_gamma 90.00
_symmetry_space_group_name_H-M 'P 1 21/m 1'
_symmetry_Int_Tables_number 11
_symmetry_space_group_name_Hall '-P 2yb'
loop_
_atom_site_label
_atom_site_type_symbol
_atom_site_fract_x
_atom_site_fract_y
_atom_site_fract_z
Tl1 Tl 0.018 0.250 0.442
V1 V 0.073 0.250 0.928
V2 V 0.447 0.555 0.185
O1 O 0.112 0.750 0.921
O2 O 0.124 0.602 0.229
O3 O 0.318 0.088 0.995
O4 O 0.406 0.250 0.744
O5 O 0.415 0.563 0.665
```



7.
Below is crystalline Ba2FeAu at its relaxed geometry, with properties calculated at the GGA-PBEsol level.

Computed properties:
E above lowest polymorph = 0.000 eV per atom
formation energy = 0.066 eV per atom
M_tot = 2.1 μB per formula unit

CIF file:
```
data_Ba2FeAu
_chemical_formula_sum 'Ba4 Fe2 Au2'
_cell_length_a 4.577
_cell_length_b 4.804
_cell_length_c 11.453
_cell_angle_alpha 90.00
_cell_angle_beta 90.00
_cell_angle_gamma 90.00
_symmetry_space_group_name_H-M 'A m m 2'
_symmetry_Int_Tables_number 38
_symmetry_space_group_name_Hall 'A 2 -2'
loop_
_atom_site_label
_atom_site_type_symbol
_atom_site_fract_x
_atom_site_fract_y
_atom_site_fract_z
Ba1 Ba 0.000 0.000 0.000
Ba2 Ba 0.500 0.000 0.293
Fe1 Fe 0.000 0.000 0.687
Au1 Au 0.500 0.000 0.595
```



8.
Below is crystalline HgPt2Se at its relaxed geometry, with properties calculated at the GGA-PBEsol level.

Computed properties:
formation energy (no corrections) = 0.07 eV per atom
M_tot = 0.0 μB per formula unit

CIF file:
```
data_HgPt2Se
_chemical_formula_sum 'Hg3 Pt6 Se3'
_cell_length_a 3.1476
_cell_length_b 3.1476
_cell_length_c 24.1949
_cell_angle_alpha 90.00
_cell_angle_beta 90.00
_cell_angle_gamma 120.00
_symmetry_space_group_name_H-M 'R -3 m'
_symmetry_Int_Tables_number 166
_symmetry_space_group_name_Hall '-R 3 2"'
loop_
_atom_site_label
_atom_site_type_symbol
_atom_site_fract_x
_atom_site_fract_y
_atom_site_fract_z
Hg1 Hg 0.0000 0.0000 0.0000
Pt1 Pt 0.0000 0.0000 0.2440
Se1 Se 0.0000 0.0000 0.5000
```